Compound: La2Lu2O5
Source: OQMD via LeMat-Bulk
Functional: GGA-PBE
Structure: relaxed

Output
- Total DFT energy (no corrections): -0.290 Ha/atom
- Crystal system: tetragonal
- V: 139.1 Å³/cell

Unit cell a=4.238 b=4.238 c=7.742 alpha=90.00 beta=90.00 gamma=90.00
Space group P4/mmm (No. 123)
Asymmetric unit:
La 0.000 0.000 0.000
La 0.000 0.000 0.500
Lu 0.500 0.500 0.234
O 0.000 0.500 0.243
O 0.500 0.500 0.500

Compound: DyEr2Mg3InGa2
Source: OQMD via LeMat-Bulk
Functional: GGA-PBE
Structure: relaxed

Output
- Total DFT energy (no corrections): -0.128 Ha/atom
- Crystal system: orthorhombic
- V: 417.3 Å³/cell

Unit cell a=4.538 b=12.642 c=7.275 alpha=90.00 beta=90.00 gamma=90.00
Space group Amm2 (No. 38)
Asymmetric unit:
Dy 0.000 0.000 0.000
Er 0.000 0.219 0.343
Mg 0.500 0.000 0.312
Mg 0.500 0.125 0.687
In 0.000 0.000 0.560
Ga 0.500 0.167 0.062

Compound: Li4ReSnO6
Source: OQMD via LeMat-Bulk
Functional: GGA-PBE
Structure: relaxed

Output
- Total DFT energy (no corrections): -0.229 Ha/atom
- Crystal system: monoclinic
- V: 232.8 Å³/cell

Unit cell a=5.277 b=9.112 c=5.153 alpha=90.00 beta=110.05 gamma=90.00
Space group C2 (No. 5)
Asymmetric unit:
Li 0.000 0.000 0.000
Li 0.000 0.155 0.500
Li 0.000 0.508 0.500
Li 0.000 0.840 0.500
Re 0.000 0.667 0.000
Sn 0.000 0.333 0.000
O 0.233 0.502 0.241
O 0.243 0.672 0.764
O 0.249 0.825 0.237